Entry 1:
Entry from Alexandria: a geometry-optimized TmAl4Ga structure (GGA-PBE).

Structure (POSCAR):
```
TmAl4Ga
1.0
-4.3166 1.8906 -2.0759
0.7280 -2.9233 -4.1762
-3.5554 -6.9688 7.4331
Tm Al Ga
2 8 2
Direct
0.0000 0.0000 0.0000
0.7500 0.2500 0.5000
0.6052 0.3504 0.2105
0.6101 0.8552 0.7105
0.1004 0.8552 0.7105
0.6052 0.8601 0.2105
0.1448 0.3899 0.2895
0.6496 0.3948 0.7895
0.1399 0.3948 0.7895
0.1448 0.8996 0.2895
0.5000 0.5000 0.0000
0.2500 0.7500 0.5000
```

Summary:
N(E_F)	0.43	states/eV/atom
total energy	-3.6113	eV per atom
space-group type	I4_1/amd
energy above the lowest structure with this stoichiometry	0.379	eV/atom
magnetic moment	0.0	μB/cell

Entry 2:
Entry from Alexandria: a geometry-optimized K5PbI8 structure (GGA-PBE).

Structure (POSCAR):
```
K5PbI8
1.0
-9.0592 0.9132 -1.2337
2.5027 -8.6213 -1.9580
2.1091 1.8900 8.7410
K Pb I
5 1 8
Direct
0.9901 0.3650 0.1086
0.8914 0.8815 0.2564
0.7436 0.6350 0.6251
0.5000 0.0000 0.5000
0.3749 0.1185 0.0099
0.2500 0.5000 0.7500
0.1252 0.7301 0.9999
0.0001 0.1254 0.7303
0.7959 0.2802 0.4005
0.5995 0.3955 0.8797
0.4842 0.6045 0.2041
0.6049 0.8746 0.8748
0.2697 0.2699 0.3951
0.1203 0.7198 0.5158
```

Summary:
N(E_F)	0.59	states/eV/atom
total energy	-2.6543	eV per atom
space-group type	I-4
magnetic moment	1.2	μB/cell
ΔE_f (raw)	-15.6	eV per formula unit

Entry 3:
Entry from Alexandria: a geometry-optimized Cr3BiTe structure (GGA-PBE).

Structure (POSCAR):
```
Cr3BiTe
1.0
4.7564 0.0000 0.0000
0.0000 4.7564 0.0000
0.0000 0.0000 4.7564
Cr Te Bi
3 1 1
Direct
0.0000 0.5000 0.0000
0.0000 0.0000 0.5000
0.5000 0.0000 0.0000
0.0000 0.0000 0.0000
0.5000 0.5000 0.5000
```

Summary:
N(E_F)	5.06	states/eV/atom
total energy	-5.5819	eV per atom
space-group type	Pm-3m
energy above the lowest structure with this stoichiometry	0.493	eV/atom
magnetic moment	0.0	μB/cell
ΔE_f (raw)	8.0	eV per formula unit

Entry 4:
Entry from Alexandria: a geometry-optimized CaSm6Tm12 structure (GGA-PBE).

Structure (POSCAR):
```
CaSm6Tm12
1.0
8.9021 -0.2763 -2.4410
-3.1303 8.3381 -2.4410
-0.1978 -0.2763 9.2286
Ca Sm Tm
1 6 12
Direct
0.0000 0.0000 0.0000
0.6878 0.2955 0.6878
0.6878 0.6878 0.2955
0.2955 0.6878 0.6878
0.3122 0.3122 0.7045
0.3122 0.7045 0.3122
0.7045 0.3122 0.3122
0.8872 0.1128 0.5000
0.3374 0.0989 0.3374
0.3374 0.3374 0.0989
0.9011 0.6626 0.6626
0.6626 0.6626 0.9011
0.6626 0.9011 0.6626
0.5000 0.8872 0.1128
0.1128 0.5000 0.8872
0.1128 0.8872 0.5000
0.5000 0.1128 0.8872
0.8872 0.5000 0.1128
0.0989 0.3374 0.3374
```

Summary:
N(E_F)	1.47	states/eV/atom
total energy	-3.9689	eV per atom
space-group type	R-3m
magnetic moment	0.0	μB/cell